<A>
A plane-wave DFT calculation with PBE-GGA was carried out for an optimized crystal structure of CaPuHgPb.

Summary:
The calculation puts the density of states at the Fermi level at 11.3 states/eV/f.u. Its space-group type is No. 47. Its magnetic moment is 5.8 μB/cell.

Geometry as POSCAR:
```
CaPuHgPb
1.0
3.712 0.000 0.000
0.000 5.543 0.000
0.000 0.000 5.548
Pb Hg Pu Ca
1 1 1 1
Direct
0.500 0.500 0.000
0.500 0.000 0.500
0.000 0.500 0.500
0.000 0.000 0.000
```

---

<B>
A plane-wave DFT calculation with PBE-GGA was carried out for an optimized crystal structure of CaPuHgPb.

Summary:
The calculation puts the density of states at the Fermi level at 12.7 states/eV/f.u. Its space-group type is No. 216. Its magnetic moment is 6.0 μB/cell.

Geometry as POSCAR:
```
CaPuHgPb
1.0
5.454 0.000 0.000
2.727 4.724 0.000
2.727 1.575 4.453
Hg Ca Pu Pb
1 1 1 1
Direct
0.750 0.750 0.750
0.500 0.500 0.500
0.000 0.000 0.000
0.250 0.250 0.250
```

---

Which one sits at the bottom of the stability order? <A> does.